An optimized crystal structure of Sr3Tl4Ga2, computed with PBE-GGA.

energy of formation from the pure elements = -0.331 eV per atom
DFT total energy = -23.54 eV for the cell shown
SG = C2/m, No. 12
calculated volume = 30.5 Å³/atom

a = 6.4818 Å, b = 6.4818 Å, c = 9.6133 Å
α = 107.47°, β = 107.47°, γ = 45.96°
Sites, in units of the cell vectors:
Sr (0.0000, 0.0000, 0.0000)
Sr (0.3597, 0.3597, 0.3179)
Sr (0.6403, 0.6403, 0.6821)
Tl (0.0767, 0.0767, 0.3913)
Tl (0.2934, 0.2934, 0.9395)
Tl (0.7066, 0.7066, 0.0605)
Tl (0.9233, 0.9233, 0.6087)
Ga (0.3236, 0.3236, 0.6556)
Ga (0.6764, 0.6764, 0.3444)

An optimized crystal structure of Be2ZnSn, computed with PBE-GGA.

energy of formation from the pure elements = 0.593 eV per atom
DFT total energy = -10.36 eV for the cell shown
SG = Fm-3m, No. 225
calculated volume = 15.0 Å³/atom
polymorph energy (0 for the lowest one) = 173 meV per atom

a = 4.3983 Å, b = 4.3983 Å, c = 4.3983 Å
α = 60.00°, β = 60.00°, γ = 60.00°
Sites, in units of the cell vectors:
Be (0.2500, 0.2500, 0.2500)
Be (0.7500, 0.7500, 0.7500)
Zn (0.0000, 0.0000, 0.0000)
Sn (0.5000, 0.5000, 0.5000)